1.
Compound: SrSc3Fe
Source: Alexandria via LeMat-Bulk
Functional: SCAN
Structure: PBEsol geometry Values from VASP.

The structure in Quantum ESPRESSO input format:
```
&SYSTEM
  ibrav = 0, nat = 5, ntyp = 3
/
ATOMIC_SPECIES
Sr 87.62 Sr.upf
Sc 44.96 Sc.upf
Fe 55.84 Fe.upf
ATOMIC_POSITIONS crystal
Sr 0.0000 0.0000 0.0000
Sc 0.0000 0.0000 0.5000
Sc 0.0000 0.5000 0.0000
Sc 0.5000 0.0000 0.0000
Fe 0.5000 0.5000 0.5000
CELL_PARAMETERS angstrom
4.9374 0.0000 0.0000
0.0000 4.9374 0.0000
0.0000 0.0000 4.9374
```

## Properties
DFT formation energy = 40.15 kcal/mol of atoms
relative energy among the computed polymorphs = 1638 meV per atom

=====

2.
Compound: SrSc2FeTe
Source: Alexandria via LeMat-Bulk
Functional: SCAN
Structure: PBEsol geometry Values from VASP.

The structure in Quantum ESPRESSO input format:
```
&SYSTEM
  ibrav = 0, nat = 5, ntyp = 4
/
ATOMIC_SPECIES
Sr 87.62 Sr.upf
Sc 44.96 Sc.upf
Fe 55.84 Fe.upf
Te 127.60 Te.upf
ATOMIC_POSITIONS crystal
Sr 0.0000 0.0000 0.0000
Sc 0.0000 0.5000 0.0000
Sc 0.5000 0.0000 0.0000
Fe 0.5000 0.5000 0.5000
Te 0.0000 0.0000 0.5000
CELL_PARAMETERS angstrom
5.1378 0.0000 0.0000
0.0000 5.1378 0.0000
0.0000 0.0000 5.6158
```

## Properties
raw formation energy = 7.7 eV per formula unit

=====

3.
Compound: SrSc2ZnFe
Source: Alexandria via LeMat-Bulk
Functional: SCAN
Structure: PBEsol geometry Values from VASP.

The structure in Quantum ESPRESSO input format:
```
&SYSTEM
  ibrav = 0, nat = 5, ntyp = 4
/
ATOMIC_SPECIES
Sr 87.62 Sr.upf
Sc 44.96 Sc.upf
Zn 65.41 Zn.upf
Fe 55.84 Fe.upf
ATOMIC_POSITIONS crystal
Sr 0.0000 0.0000 0.0000
Sc 0.0000 0.5000 0.5000
Sc 0.5000 0.0000 0.5000
Zn 0.0000 0.0000 0.5000
Fe 0.5000 0.5000 0.0000
CELL_PARAMETERS angstrom
5.0303 0.0000 0.0000
0.0000 5.0303 0.0000
0.0000 0.0000 5.5744
```

## Properties
DFT formation energy = 16.69 kcal/mol of atoms

=====

4.
Compound: ScTaFe4
Source: Alexandria via LeMat-Bulk
Functional: SCAN
Structure: PBEsol geometry Values from VASP.

The structure in Quantum ESPRESSO input format:
```
&SYSTEM
  ibrav = 0, nat = 6, ntyp = 3
/
ATOMIC_SPECIES
Sc 44.96 Sc.upf
Ta 180.95 Ta.upf
Fe 55.84 Fe.upf
ATOMIC_POSITIONS crystal
Sc 0.0000 0.0000 0.0000
Ta 0.2500 0.2500 0.2500
Fe 0.1258 0.6247 0.6247
Fe 0.6247 0.1258 0.6247
Fe 0.6247 0.6247 0.1258
Fe 0.6247 0.6247 0.6247
CELL_PARAMETERS angstrom
0.0000 3.3895 3.3895
3.3895 0.0000 3.3895
3.3895 3.3895 0.0000
```

## Properties
DFT formation energy = -3.95 kcal/mol of atoms

=====

5.
Compound: Sc2TaFe
Source: Alexandria via LeMat-Bulk
Functional: SCAN
Structure: PBEsol geometry Values from VASP.

The structure in Quantum ESPRESSO input format:
```
&SYSTEM
  ibrav = 0, nat = 4, ntyp = 3
/
ATOMIC_SPECIES
Sc 44.96 Sc.upf
Ta 180.95 Ta.upf
Fe 55.84 Fe.upf
ATOMIC_POSITIONS crystal
Sc 0.2380 0.2380 0.2380
Sc 0.7620 0.7620 0.7620
Ta 0.0000 0.0000 0.0000
Fe 0.5000 0.5000 0.5000
CELL_PARAMETERS angstrom
1.5094 0.8715 8.7774
-1.5094 0.8715 8.7774
0.0000 -1.7429 8.7774
```

## Properties
DFT formation energy = 6.83 kcal/mol of atoms
relative energy among the computed polymorphs = 297 meV per atom

=====

6.
Compound: Sc2TaFe
Source: Alexandria via LeMat-Bulk
Functional: SCAN
Structure: PBEsol geometry Values from VASP.

The structure in Quantum ESPRESSO input format:
```
&SYSTEM
  ibrav = 0, nat = 4, ntyp = 3
/
ATOMIC_SPECIES
Sc 44.96 Sc.upf
Ta 180.95 Ta.upf
Fe 55.84 Fe.upf
ATOMIC_POSITIONS crystal
Sc 0.0000 0.0000 0.0000
Sc 0.7096 0.2096 0.5000
Ta 0.4160 0.4160 0.0000
Fe 0.2241 0.7241 0.5000
CELL_PARAMETERS angstrom
-1.5719 2.3638 4.7219
1.5719 -2.3638 4.7219
1.5719 2.3638 -4.7219
```

## Properties
DFT formation energy = 0.38 kcal/mol of atoms
relative energy among the computed polymorphs = 17 meV per atom